Computed, not measured: crystalline Ac2Be2FeO6 at its relaxed geometry at the PBE+U level of DFT. Values from VASP.

Values from the calculation:
Space-group type   No. 147
Electronic total energy   -0.2588 Ha/atom
Volume   166 Å³ per cell
N(E_F)   0.55 states/eV/atom

The structure in Quantum ESPRESSO input format:
```
&SYSTEM
  ibrav = 0, nat = 11, ntyp = 4
/
ATOMIC_SPECIES
Ac 227.00 Ac.upf
Be 9.01 Be.upf
Fe 55.84 Fe.upf
O 16.00 O.upf
CELL_PARAMETERS angstrom
5.544 0.000 0.000
-2.772 4.801 0.000
0.000 0.000 6.252
ATOMIC_POSITIONS angstrom
Ac 0.000 3.201 1.337
Ac 2.772 1.600 4.915
Be 0.000 3.201 4.826
Be 2.772 1.600 1.427
Fe 0.000 0.000 0.000
O -0.327 1.725 5.036
O -1.115 4.222 5.036
O 1.330 1.146 1.216
O 1.442 3.656 5.036
O 3.887 0.579 1.216
O 3.099 3.076 1.216
```